Entry 1:
Entry from the Alexandria database: a relaxed KSb3Rh3 crystal (PBE).

Cell: 7.0567 7.0567 25.6648 Å, 90.00 90.00 120.00°
Space group R-3 (No. 148, hexagonal axes)
One atom of each set of equivalent atoms:
K: 0.0000 0.0000 0.1765
Sb: 0.0204 0.6136 0.2661
Rh: 0.0175 0.7507 0.7009

=====

Entry 2:
Entry from the Alexandria database: a relaxed KSbRh2 crystal (PBE).

Cell: 7.715 7.715 6.586 Å, 90.00 90.00 90.00°
Space group I-42d (No. 122)
One atom of each set of equivalent atoms:
K: 0.000 0.000 0.000
Sb: 0.000 0.000 0.500
Rh: 0.176 0.750 0.625

=====

Entry 3:
Entry from the Alexandria database: a relaxed KSbRh2 crystal (PBE).

Cell: 4.3895 4.3895 18.7456 Å, 90.00 90.00 120.00°
Space group R3m (No. 160, hexagonal axes)
One atom of each set of equivalent atoms:
K: 0.0000 0.0000 0.0000
Sb: 0.0000 0.0000 0.8035
Rh: 0.0000 0.0000 0.2021
Rh: 0.0000 0.0000 0.5189

=====

Entry 4:
Entry from the Alexandria database: a relaxed KSbRh crystal (PBE).

Cell: 4.3978 4.3978 5.4782 Å, 90.00 90.00 120.00°
Space group P-6m2 (No. 187)
One atom of each set of equivalent atoms:
K: 0.0000 0.0000 0.0000
Sb: 0.3333 0.6667 0.5000
Rh: 0.6667 0.3333 0.5000

=====

Entry 5:
Entry from the Alexandria database: a relaxed KSbRh3 crystal (PBE).

Output
Its energy above the lowest structure with this stoichiometry is 0.000 eV per formula unit.

Cell: 4.959 4.959 4.959 Å, 90.00 90.00 90.00°
Space group Pm-3m (No. 221)
One atom of each set of equivalent atoms:
K: 0.000 0.000 0.000
Sb: 0.500 0.500 0.500
Rh: 0.000 0.500 0.500

=====

Entry 6:
Entry from the Alexandria database: a relaxed KSbRh2 crystal (PBE).

Cell: 3.234 3.234 8.389 Å, 90.00 90.00 90.00°
Space group P4mm (No. 99)
One atom of each set of equivalent atoms:
K: 0.000 0.000 0.000
Sb: 0.500 0.500 0.650
Rh: 0.000 0.000 0.475
Rh: 0.500 0.500 0.295

=====

Number 1: D(E_F) 21.43 states/eV per cell, E_tot -5.396 eV/atom, formation energy from raw total energies -0.3214 eV per atom. Number 2: D(E_F) 3.95 states/eV per cell, E_tot -4.671 eV/atom, formation energy from raw total energies 0.3095 eV per atom. Number 3: D(E_F) 4.42 states/eV per cell, E_tot -5.070 eV/atom, formation energy from raw total energies -0.0888 eV per atom. Number 4: D(E_F) 1.74 states/eV per cell, E_tot -4.386 eV/atom, formation energy from raw total energies -0.1951 eV per atom. Number 5: D(E_F) 4.44 states/eV per cell, E_tot -4.880 eV/atom, formation energy from raw total energies 0.5748 eV per atom. Number 6: D(E_F) 4.75 states/eV per cell, E_tot -4.853 eV/atom, formation energy from raw total energies 0.1279 eV per atom.